(1)
# CoHgMo2

A relaxed CoHgMo2 crystal (GGA-PBEsol, Alexandria via LeMat-Bulk).

```
data_CoHgMo2
_symmetry_space_group_name_H-M 'R -3 m'
_symmetry_Int_Tables_number 166
_symmetry_space_group_name_Hall '-R 3 2"'
_cell_length_a 2.7621
_cell_length_b 2.7621
_cell_length_c 27.4675
_cell_angle_alpha 90.00
_cell_angle_beta 90.00
_cell_angle_gamma 120.00
loop_
_atom_site_label
_atom_site_fract_x
_atom_site_fract_y
_atom_site_fract_z
Co1 0.0000 0.0000 0.0000
Hg1 0.0000 0.0000 0.5000
Mo1 0.0000 0.0000 0.2596
```

V	181.5	Å³ per cell
E	-7.51	eV per atom
DOS(E_F)	1.022	states/eV/atom
size of the total moment	1.8	μB per cell

***

(2)
# LaRe2Mo

A relaxed LaRe2Mo crystal (GGA-PBEsol, Alexandria via LeMat-Bulk).

```
data_LaRe2Mo
_symmetry_space_group_name_H-M 'P 4/m m m'
_symmetry_Int_Tables_number 123
_symmetry_space_group_name_Hall '-P 4 2'
_cell_length_a 3.125
_cell_length_b 3.125
_cell_length_c 7.530
_cell_angle_alpha 90.00
_cell_angle_beta 90.00
_cell_angle_gamma 90.00
loop_
_atom_site_label
_atom_site_fract_x
_atom_site_fract_y
_atom_site_fract_z
La1 0.000 0.000 0.000
Re1 0.500 0.500 0.307
Mo1 0.000 0.000 0.500
```

V	73.5	Å³ per cell
E	-10.57	eV per atom
energy above the lowest structure with this stoichiometry	0.000	eV per atom
DOS(E_F)	0.981	states/eV/atom
size of the total moment	0.0	μB per cell

***

(3)
# Pr5Al4Ag2Ge4

A relaxed Pr5Al4Ag2Ge4 crystal (GGA-PBEsol, Alexandria via LeMat-Bulk).

```
data_Pr5Al4Ag2Ge4
_symmetry_space_group_name_H-M 'A m m 2'
_symmetry_Int_Tables_number 38
_symmetry_space_group_name_Hall 'A 2 -2'
_cell_length_a 4.310
_cell_length_b 4.332
_cell_length_c 38.123
_cell_angle_alpha 90.00
_cell_angle_beta 90.00
_cell_angle_gamma 90.00
loop_
_atom_site_label
_atom_site_fract_x
_atom_site_fract_y
_atom_site_fract_z
Pr1 0.000 0.000 0.000
Pr2 0.000 0.000 0.193
Pr3 0.000 0.000 0.389
Pr4 0.000 0.000 0.596
Pr5 0.000 0.000 0.790
Al1 0.500 0.000 0.128
Al2 0.500 0.000 0.462
Al3 0.500 0.000 0.529
Al4 0.500 0.000 0.726
Ag1 0.500 0.000 0.325
Ag2 0.500 0.000 0.928
Ge1 0.500 0.000 0.063
Ge2 0.500 0.000 0.258
Ge3 0.500 0.000 0.660
Ge4 0.500 0.000 0.860
```

V	711.7	Å³ per cell
E	-5.19	eV per atom
DOS(E_F)	0.484	states/eV/atom
size of the total moment	0.0	μB per cell

***

(4)
# AlCrP

A relaxed AlCrP crystal (GGA-PBEsol, Alexandria via LeMat-Bulk).

```
data_AlCrP
_symmetry_space_group_name_H-M 'I 4 m m'
_symmetry_Int_Tables_number 107
_symmetry_space_group_name_Hall 'I 4 -2'
_cell_length_a 3.016
_cell_length_b 3.016
_cell_length_c 7.978
_cell_angle_alpha 90.00
_cell_angle_beta 90.00
_cell_angle_gamma 90.00
loop_
_atom_site_label
_atom_site_fract_x
_atom_site_fract_y
_atom_site_fract_z
Al1 0.000 0.000 0.000
Cr1 0.000 0.000 0.685
P1 0.000 0.000 0.315
```

V	72.6	Å³ per cell
E	-7.16	eV per atom
DOS(E_F)	0.058	states/eV/atom
size of the total moment	0.0	μB per cell

***

(5)
# LiZrSc2

A relaxed LiZrSc2 crystal (GGA-PBEsol, Alexandria via LeMat-Bulk).

```
data_LiZrSc2
_symmetry_space_group_name_H-M 'R -3 m'
_symmetry_Int_Tables_number 166
_symmetry_space_group_name_Hall '-R 3 2"'
_cell_length_a 3.1606
_cell_length_b 3.1606
_cell_length_c 31.6175
_cell_angle_alpha 90.00
_cell_angle_beta 90.00
_cell_angle_gamma 120.00
loop_
_atom_site_label
_atom_site_fract_x
_atom_site_fract_y
_atom_site_fract_z
Li1 0.0000 0.0000 0.0000
Zr1 0.0000 0.0000 0.5000
Sc1 0.0000 0.0000 0.2462
```

V	273.5	Å³ per cell
E	-5.98	eV per atom
energy above the lowest structure with this stoichiometry	0.028	eV per atom
DOS(E_F)	1.201	states/eV/atom
size of the total moment	0.0	μB per cell

***

(6)
# Zr3HgN

A relaxed Zr3HgN crystal (GGA-PBEsol, Alexandria via LeMat-Bulk).

```
data_Zr3HgN
_symmetry_space_group_name_H-M 'P m -3 m'
_symmetry_Int_Tables_number 221
_symmetry_space_group_name_Hall '-P 4 2 3'
_cell_length_a 4.448
_cell_length_b 4.448
_cell_length_c 4.448
_cell_angle_alpha 90.00
_cell_angle_beta 90.00
_cell_angle_gamma 90.00
loop_
_atom_site_label
_atom_site_fract_x
_atom_site_fract_y
_atom_site_fract_z
Zr1 0.000 0.000 0.500
Hg1 0.500 0.500 0.500
N1 0.000 0.000 0.000
```

formation energy without anion corrections	-998	meV/atom
V	88.0	Å³ per cell
E	-8.27	eV per atom
DOS(E_F)	0.735	states/eV/atom
size of the total moment	0.0	μB per cell

***

(7)
# AlReRu2

A relaxed AlReRu2 crystal (GGA-PBEsol, Alexandria via LeMat-Bulk).

```
data_AlReRu2
_symmetry_space_group_name_H-M 'C m m 2'
_symmetry_Int_Tables_number 35
_symmetry_space_group_name_Hall 'C 2 -2'
_cell_length_a 2.859
_cell_length_b 4.551
_cell_length_c 8.611
_cell_angle_alpha 90.00
_cell_angle_beta 90.00
_cell_angle_gamma 90.00
loop_
_atom_site_label
_atom_site_fract_x
_atom_site_fract_y
_atom_site_fract_z
Al1 0.000 0.000 0.000
Re1 0.000 0.500 0.258
Ru1 0.000 0.000 0.507
Ru2 0.000 0.500 0.765
```

V	112.0	Å³ per cell
E	-9.25	eV per atom
DOS(E_F)	1.046	states/eV/atom
size of the total moment	0.0	μB per cell

***

(8)
# Ru2RhCl

A relaxed Ru2RhCl crystal (GGA-PBEsol, Alexandria via LeMat-Bulk).

```
data_Ru2RhCl
_symmetry_space_group_name_H-M 'P m m m'
_symmetry_Int_Tables_number 47
_symmetry_space_group_name_Hall '-P 2 2'
_cell_length_a 2.728
_cell_length_b 4.514
_cell_length_c 4.525
_cell_angle_alpha 90.00
_cell_angle_beta 90.00
_cell_angle_gamma 90.00
loop_
_atom_site_label
_atom_site_fract_x
_atom_site_fract_y
_atom_site_fract_z
Ru1 0.000 0.000 0.000
Ru2 0.500 0.500 0.000
Rh1 0.000 0.500 0.500
Cl1 0.500 0.000 0.500
```

formation energy without anion corrections	807	meV/atom
V	55.7	Å³ per cell
E	-6.82	eV per atom
energy above the lowest structure with this stoichiometry	0.000	eV per atom
DOS(E_F)	1.479	states/eV/atom
size of the total moment	0.0	μB per cell

***

Repeat the eighth record exactly.
# Ru2RhCl

A relaxed Ru2RhCl crystal (GGA-PBEsol, Alexandria via LeMat-Bulk).

```
data_Ru2RhCl
_symmetry_space_group_name_H-M 'P m m m'
_symmetry_Int_Tables_number 47
_symmetry_space_group_name_Hall '-P 2 2'
_cell_length_a 2.728
_cell_length_b 4.514
_cell_length_c 4.525
_cell_angle_alpha 90.00
_cell_angle_beta 90.00
_cell_angle_gamma 90.00
loop_
_atom_site_label
_atom_site_fract_x
_atom_site_fract_y
_atom_site_fract_z
Ru1 0.000 0.000 0.000
Ru2 0.500 0.500 0.000
Rh1 0.000 0.500 0.500
Cl1 0.500 0.000 0.500
```

formation energy without anion corrections	807	meV/atom
V	55.7	Å³ per cell
E	-6.82	eV per atom
energy above the lowest structure with this stoichiometry	0.000	eV per atom
DOS(E_F)	1.479	states/eV/atom
size of the total moment	0.0	μB per cell